Here is a geometry-optimized U3Pb5Se12 structure from the Alexandria database. Energies are from PBE.

a b c (Å): 14.779 14.779 14.779
angles (deg): 109.47 109.47 109.47
Element x y z (fractional)
Se 0.418 0.355 0.585
Se 0.230 0.563 0.645
Se 0.915 0.833 0.770
Se 0.415 0.270 0.333
Se 0.855 0.270 0.437
Se 0.063 0.645 0.730
Se 0.355 0.418 0.085
Se 0.563 0.230 0.145
Se 0.333 0.770 0.415
Se 0.585 0.855 0.418
Se 0.582 0.937 0.667
Se 0.415 0.145 0.582
Se 0.145 0.415 0.082
Se 0.418 0.063 0.333
Se 0.918 0.833 0.563
Se 0.270 0.855 0.937
Se 0.167 0.082 0.937
Se 0.582 0.645 0.415
Se 0.770 0.333 0.915
Se 0.667 0.230 0.585
Se 0.563 0.333 0.918
Se 0.437 0.667 0.082
Se 0.645 0.063 0.230
Se 0.833 0.918 0.063
Se 0.333 0.563 0.418
Se 0.855 0.585 0.918
Se 0.082 0.915 0.145
Se 0.730 0.145 0.063
Se 0.230 0.667 0.085
Se 0.355 0.937 0.770
Se 0.085 0.167 0.230
Se 0.085 0.918 0.355
Se 0.645 0.582 0.915
Se 0.730 0.585 0.167
Se 0.270 0.415 0.833
Se 0.918 0.085 0.855
Se 0.770 0.437 0.355
Se 0.833 0.915 0.270
Se 0.082 0.167 0.437
Se 0.063 0.418 0.833
Se 0.915 0.082 0.645
Se 0.667 0.437 0.582
Se 0.167 0.085 0.730
Se 0.937 0.582 0.167
Se 0.585 0.730 0.667
Se 0.145 0.730 0.563
Se 0.437 0.770 0.855
Se 0.937 0.355 0.270
U 0.125 0.250 0.875
U 0.875 0.125 0.250
U 0.375 0.750 0.625
U 0.375 0.625 0.250
U 0.125 0.875 0.750
U 0.625 0.375 0.750
U 0.625 0.250 0.375
U 0.750 0.875 0.625
U 0.875 0.750 0.125
U 0.750 0.375 0.125
U 0.250 0.625 0.875
U 0.250 0.125 0.375
Pb 0.250 0.375 0.625
Pb 0.000 0.000 0.500
Pb 0.375 0.125 0.750
Pb 0.875 0.250 0.625
Pb 0.500 0.000 0.000
Pb 0.375 0.250 0.125
Pb 0.750 0.125 0.875
Pb 0.625 0.875 0.250
Pb 0.000 0.000 0.000
Pb 0.250 0.875 0.125
Pb 0.500 0.500 0.000
Pb 0.000 0.500 0.500
Pb 0.125 0.750 0.375
Pb 0.500 0.500 0.500
Pb 0.750 0.625 0.375
Pb 0.625 0.750 0.875
Pb 0.125 0.375 0.250
Pb 0.000 0.500 0.000
Pb 0.875 0.625 0.750
Pb 0.500 0.000 0.500

formation energy (no corrections)	-11.17	eV per formula unit
calculated total energy	-0.387	Ry/atom